Crystalline GdBi2 at its relaxed geometry. Source: the Open Quantum Materials Database, functional GGA-PBE.

```
GdBi2
1.0
-2.304 2.304 17.183
2.304 -2.304 17.183
2.304 2.304 -17.183
Gd Bi
4 8
direct
0.301 0.551 0.750
0.449 0.699 0.750
0.551 0.301 0.250
0.699 0.449 0.250
0.035 0.785 0.250
0.125 0.375 0.750
0.215 0.965 0.250
0.375 0.125 0.250
0.625 0.875 0.750
0.785 0.035 0.750
0.875 0.625 0.250
0.965 0.215 0.750
```

Output
As for the space group: I4_1/amd. Its electronic total energy is -4.788 eV per atom.